Record 1
Ho3ZnOs (GGA-PBE, relaxed); energy of formation from the pure elements = -149 kJ/mol of formula units; electronic total energy = -5.56 eV/atom; SG = No. 69; volume = 237.2 Å³/cell
1.0
-5.268 -0.325 -2.176
0.294 -2.035 5.326
0.875 8.352 1.254
Ho Zn Os
6 2 2
Direct
0.291 0.421 0.712
0.921 0.791 0.712
0.079 0.209 0.288
0.697 0.197 0.894
0.303 0.803 0.106
0.709 0.579 0.288
0.694 0.194 0.500
0.306 0.806 0.500
0.750 0.750 0.000
0.250 0.250 0.000

Record 2
Ho12Zn6Os (GGA-PBE, relaxed); energy of formation from the pure elements = -193 kJ/mol of formula units; electronic total energy = -3.99 eV/atom; SG = No. 148; volume = 500.7 Å³/cell
1.0
7.927 0.395 0.473
-0.811 7.895 0.473
-0.811 -0.945 7.853
Ho Zn Os
12 6 1
Direct
0.896 0.677 0.029
0.323 0.971 0.104
0.029 0.896 0.677
0.439 0.550 0.199
0.801 0.561 0.450
0.971 0.104 0.323
0.450 0.801 0.561
0.677 0.029 0.896
0.199 0.439 0.550
0.104 0.323 0.971
0.550 0.199 0.439
0.561 0.450 0.801
0.335 0.135 0.734
0.865 0.266 0.665
0.135 0.734 0.335
0.266 0.665 0.865
0.665 0.865 0.266
0.734 0.335 0.135
0.000 0.000 0.000

Record 3
Ho3Zn2Os (GGA-PBE, relaxed); energy of formation from the pure elements = -201 kJ/mol of formula units; electronic total energy = -4.93 eV/atom; SG = No. 10; polymorph energy (0 for the lowest one) = 0.000 eV per atom; volume = 257.3 Å³/cell
1.0
4.910 0.003 0.020
2.460 7.358 0.010
-0.029 0.000 7.124
Zn Os Ho
4 2 6
Direct
0.000 0.000 0.500
0.000 0.000 0.000
0.665 0.667 0.500
0.335 0.333 0.500
0.663 0.673 0.000
0.337 0.327 0.000
0.830 0.341 0.767
0.830 0.341 0.233
0.170 0.659 0.767
0.170 0.659 0.233
0.500 0.000 0.762
0.500 0.000 0.238

Record 4
Ho4ZnOs (GGA-PBE, relaxed); energy of formation from the pure elements = -148 kJ/mol of formula units; electronic total energy = -5.39 eV/atom; SG = No. 216; polymorph energy (0 for the lowest one) = 0.000 eV per atom; volume = 600.5 Å³/cell
1.0
-4.013 -4.876 7.057
4.250 -7.739 3.423
3.855 0.149 8.648
Ho Zn Os
16 4 4
Direct
0.810 0.190 0.810
0.810 0.810 0.190
0.799 0.400 0.400
0.557 0.943 0.557
0.190 0.810 0.190
0.400 0.400 0.799
0.557 0.943 0.943
0.190 0.190 0.810
0.810 0.190 0.190
0.943 0.943 0.557
0.400 0.799 0.400
0.943 0.557 0.943
0.557 0.557 0.943
0.400 0.400 0.400
0.190 0.810 0.810
0.943 0.557 0.557
0.173 0.173 0.173
0.480 0.173 0.173
0.173 0.173 0.480
0.173 0.480 0.173
0.168 0.611 0.611
0.611 0.168 0.611
0.611 0.611 0.168
0.611 0.611 0.611

Record 5
HoZn4Os (GGA-PBE, relaxed); energy of formation from the pure elements = -112 kJ/mol of formula units; electronic total energy = -3.68 eV/atom; SG = No. 216; volume = 93.5 Å³/cell
1.0
5.095 0.000 0.000
2.547 4.412 0.000
2.547 1.471 4.160
Zn Ho Os
4 1 1
Direct
0.626 0.121 0.626
0.626 0.626 0.626
0.121 0.626 0.626
0.626 0.626 0.121
0.250 0.250 0.250
0.000 0.000 0.000

Record 6
Ho4ZnOs (GGA-PBE, relaxed); energy of formation from the pure elements = -70 kJ/mol of formula units; electronic total energy = -5.26 eV/atom; SG = No. 123; polymorph energy (0 for the lowest one) = 0.135 eV per atom; volume = 161.3 Å³/cell
1.0
4.835 0.000 -0.001
0.000 4.835 -0.001
0.004 0.007 6.900
Ho Zn Os
4 1 1
Direct
0.001 0.498 0.735
0.001 0.497 0.261
0.501 0.998 0.735
0.501 0.997 0.261
0.501 0.497 0.998
0.001 0.997 0.498

Record 7
Ho7Zn2Os2 (GGA-PBE, relaxed); energy of formation from the pure elements = -134 kJ/mol of formula units; electronic total energy = -5.31 eV/atom; SG = No. 65; volume = 293.4 Å³/cell
1.0
6.558 -0.003 -0.839
0.003 7.065 0.003
-1.246 -0.002 6.493
Ho Zn Os
7 2 2
Direct
0.000 0.740 0.500
0.000 0.260 0.500
0.000 0.000 0.000
0.500 0.260 0.000
0.500 0.752 0.500
0.500 0.248 0.500
0.500 0.740 0.000
0.832 0.500 0.832
0.168 0.500 0.168
0.295 0.000 0.705
0.705 0.000 0.295

Record 8
Ho5Zn4Os (GGA-PBE, relaxed); energy of formation from the pure elements = -325 kJ/mol of formula units; electronic total energy = -4.26 eV/atom; SG = No. 123; volume = 218.5 Å³/cell
1.0
-2.649 2.274 -0.115
-0.653 -0.590 3.381
11.177 13.248 4.473
Os Zn Ho
1 4 5
Direct
0.000 0.000 0.000
0.000 0.000 0.399
0.000 0.000 0.801
0.000 0.000 0.601
0.000 0.000 0.199
0.500 0.500 0.500
0.500 0.500 0.090
0.500 0.500 0.702
0.500 0.500 0.910
0.500 0.500 0.298

Record 9
Ho3Zn2Os (GGA-PBE, relaxed); energy of formation from the pure elements = -188 kJ/mol of formula units; electronic total energy = -4.91 eV/atom; SG = No. 123; polymorph energy (0 for the lowest one) = 0.022 eV per atom; volume = 129.0 Å³/cell
1.0
3.478 0.000 0.000
0.000 3.478 0.000
0.000 0.000 10.662
Ho Zn Os
3 2 1
Direct
0.000 0.000 0.000
0.000 0.000 0.653
0.000 0.000 0.347
0.500 0.500 0.832
0.500 0.500 0.168
0.500 0.500 0.500

Record 10
Ho6Zn5Os (GGA-PBE, relaxed); energy of formation from the pure elements = -428 kJ/mol of formula units; electronic total energy = -4.13 eV/atom; SG = No. 65; volume = 262.0 Å³/cell
1.0
-3.775 1.318 2.946
0.730 -6.038 3.638
2.888 4.018 6.089
Zn Ho Os
5 6 1
Direct
0.668 0.500 0.664
0.326 0.000 0.348
0.332 0.500 0.336
0.000 0.500 0.000
0.674 0.000 0.652
0.840 0.756 0.320
0.840 0.244 0.320
0.160 0.756 0.680
0.500 0.763 0.000
0.160 0.244 0.680
0.500 0.237 0.000
0.000 0.000 0.000

Record 11
Ho4Zn2Os (GGA-PBE, relaxed); energy of formation from the pure elements = -137 kJ/mol of formula units; electronic total energy = -4.79 eV/atom; SG = No. 166; volume = 167.7 Å³/cell
1.0
-3.692 -2.122 -2.494
0.966 -3.535 -3.304
-1.589 -7.394 3.761
Ho Os Zn
4 1 2
Direct
0.122 0.122 0.635
0.626 0.626 0.121
0.878 0.878 0.365
0.374 0.374 0.879
0.000 0.000 0.000
0.250 0.250 0.250
0.750 0.750 0.750

Record 12
HoZrOs (GGA-PBE, relaxed); energy of formation from the pure elements = -61 kJ/mol of formula units; electronic total energy = -8.33 eV/atom; SG = No. 15; polymorph energy (0 for the lowest one) = 0.000 eV per atom; volume = 285.8 Å³/cell
1.0
6.592 0.064 0.000
-0.136 6.591 0.007
-3.220 -3.328 6.573
Ho Zr Os
4 4 4
Direct
0.161 0.586 0.248
0.414 0.839 0.752
0.911 0.836 0.748
0.164 0.089 0.252
0.415 0.340 0.755
0.910 0.335 0.745
0.660 0.585 0.245
0.665 0.090 0.255
0.023 0.448 0.500
0.773 0.698 0.000
0.302 0.227 0.000
0.552 0.977 0.500